Entry 1:
A plane-wave DFT calculation with PBE-GGA was carried out for CeClF2 after structural relaxation.

a = 4.073 Å, b = 4.073 Å, c = 14.859 Å
α = 90.00°, β = 90.00°, γ = 120.00°
Element x y z (fractional)
Ce: 0.000 0.000 0.000
Ce: 0.333 0.667 0.667
Ce: 0.667 0.333 0.333
Cl: 0.000 0.000 0.500
Cl: 0.333 0.667 0.167
Cl: 0.667 0.333 0.833
F: 0.000 0.000 0.296
F: 0.000 0.000 0.704
F: 0.333 0.667 0.370
F: 0.333 0.667 0.963
F: 0.667 0.333 0.037
F: 0.667 0.333 0.630

Summary:
- Crystal system: trigonal
- E_form (uncorrected): -315.27 kJ/mol of atoms
- Energy above the lowest structure with this stoichiometry: 133 meV per atom
- Final energy: -0.2259 hartree per atom

Entry 2:
A plane-wave DFT calculation with PBE-GGA was carried out for CeCl3F after structural relaxation.

a = 6.744 Å, b = 6.744 Å, c = 7.663 Å
α = 122.55°, β = 122.55°, γ = 77.05°
Element x y z (fractional)
Ce: 0.234 0.234 0.111
Ce: 0.766 0.766 0.889
Cl: 0.052 0.429 0.797
Cl: 0.422 0.422 0.619
Cl: 0.429 0.052 0.797
Cl: 0.571 0.948 0.203
Cl: 0.578 0.578 0.381
Cl: 0.948 0.571 0.203
F: 0.047 0.047 0.198
F: 0.953 0.953 0.802

Summary:
- Crystal system: monoclinic
- E_form (uncorrected): -226.12 kJ/mol of atoms
- Energy above the lowest structure with this stoichiometry: 8 meV per atom
- Final energy: -0.1842 hartree per atom

Entry 3:
A plane-wave DFT calculation with PBE-GGA was carried out for Ce2Cl3F5 after structural relaxation.

a = 9.259 Å, b = 9.259 Å, c = 9.259 Å
α = 101.87°, β = 90.05°, γ = 142.50°
Element x y z (fractional)
Ce: 0.167 0.128 0.296
Ce: 0.333 0.628 0.961
Ce: 0.667 0.372 0.039
Ce: 0.833 0.872 0.704
Cl: 0.173 0.771 0.944
Cl: 0.250 0.250 0.000
Cl: 0.327 0.271 0.598
Cl: 0.673 0.729 0.402
Cl: 0.750 0.750 0.000
Cl: 0.827 0.229 0.056
F: 0.021 0.250 0.771
F: 0.060 0.250 0.310
F: 0.250 0.750 0.500
F: 0.440 0.750 0.190
F: 0.479 0.250 0.229
F: 0.521 0.750 0.771
F: 0.560 0.250 0.810
F: 0.750 0.250 0.500
F: 0.940 0.750 0.690
F: 0.979 0.750 0.229

Summary:
- Crystal system: orthorhombic
- E_form (uncorrected): -255.49 kJ/mol of atoms
- Final energy: -0.1957 hartree per atom

Entry 4:
A plane-wave DFT calculation with PBE-GGA was carried out for CeClF4 after structural relaxation.

a = 9.803 Å, b = 9.803 Å, c = 5.868 Å
α = 90.00°, β = 90.00°, γ = 154.12°
Element x y z (fractional)
Ce: 0.088 0.912 0.500
Ce: 0.912 0.088 0.000
Cl: 0.314 0.686 0.200
Cl: 0.686 0.314 0.700
F: 0.020 0.980 0.801
F: 0.136 0.864 0.192
F: 0.188 0.812 0.700
F: 0.446 0.554 0.944
F: 0.554 0.446 0.444
F: 0.812 0.188 0.200
F: 0.864 0.136 0.692
F: 0.980 0.020 0.301

Summary:
- Crystal system: orthorhombic
- E_form (uncorrected): -272.96 kJ/mol of atoms
- Final energy: -0.1975 hartree per atom

> Which formula does entry 3 have?

Ce2Cl3F5

> Among the records above, which one has the lowest E_form (uncorrected)?

CeClF2